This record from the Alexandria database describes crystalline MnNiBrO2 at its relaxed geometry. The functional is PBE+U.

V, Å³/cell: 75.20
Total energy, eV/atom: -4.533
DOS(E_F), states/eV per cell: 1.87

Structure (POSCAR):
```
MnNiBrO2
1.0
3.887 0.000 0.000
0.000 4.977 0.000
0.000 0.000 3.887
Ni Mn O Br
1 1 2 1
direct
0.000 0.000 0.000
0.500 0.500 0.500
0.000 0.000 0.500
0.500 0.000 0.000
0.000 0.500 0.000
```